Li2CoO2: optimized geometry, PBE with a Hubbard U.

Cell: 5.135 5.135 5.135 Å, 148.23 136.13 55.17°
Fractional positions:
1 Li 0.200 0.700 0.500
2 Li 0.800 0.300 0.500
3 Co 0.500 0.000 0.500
4 O 0.643 0.643 0.000
5 O 0.357 0.357 0.000

- Energy relative to the lowest polymorph listed for this composition: 57.1 meV per atom
- Calculated volume: 9.8 Å³/atom
- Uncorrected energy: -5.2181 eV per atom
- Total magnetic moment: 0.200 μB per atom